(1)
This record from Alexandria describes an optimized crystal structure of Na2MnRu. The functional is GGA-PBEsol.

Geometry as extended XYZ:
```
4
Lattice="-2.909 -2.918 2.200 1.589 -4.061 1.673 0.378 -0.638 4.612" Properties=species:S:1:pos:R:3 pbc="T T T"
Ru -0.471 -3.809 4.243
Na -0.706 -5.713 6.364
Na -0.235 -1.904 2.121
Mn 0.000 0.000 0.000
```

Output
spin magnetization = 5.4 Bohr magnetons per cell
calculated total energy = -17.42 eV for the cell shown
volume = 72.1 Å³/cell
DOS(E_F) = 4.4 states/eV per cell


(2)
This record from Alexandria describes an optimized crystal structure of Dy2Sb5. The functional is GGA-PBEsol.

Geometry as extended XYZ:
```
28
Lattice="-2.900 -1.004 -2.782 -8.464 -2.210 9.618 -2.219 13.981 -2.731" Properties=species:S:1:pos:R:3 pbc="T T T"
Dy -6.933 10.463 -1.173
Dy -10.212 6.563 6.735
Dy -9.036 8.679 1.663
Dy -6.269 6.592 -0.469
Dy -6.649 0.305 5.278
Dy -3.370 4.205 -2.629
Dy -7.313 4.176 4.574
Dy -4.546 2.089 2.443
Sb -11.166 8.222 4.048
Sb -10.480 4.091 4.822
Sb -8.720 2.332 6.706
Sb -4.653 -0.472 0.395
Sb -9.732 -0.274 5.618
Sb -5.333 5.090 2.181
Sb -4.333 -0.846 3.280
Sb -8.255 7.308 4.427
Sb -4.862 8.435 -2.600
Sb -10.958 10.412 6.124
Sb -3.850 11.042 -1.512
Sb -3.102 6.676 -0.716
Sb -5.327 3.460 -0.321
Sb -2.624 0.356 -2.019
Sb -8.249 5.678 1.924
Sb -7.624 1.689 2.712
Sb -2.416 2.546 0.058
Sb -8.929 11.240 3.710
Sb -9.249 11.613 0.826
Sb -5.958 9.079 1.394
```

Output
spin magnetization = 0.0 Bohr magnetons per cell
formation energy from raw total energies = -0.686 eV per atom
calculated total energy = -150.19 eV for the cell shown
volume = 759.9 Å³/cell
DOS(E_F) = 7.7 states/eV per cell


(3)
This record from Alexandria describes an optimized crystal structure of TaBeB2C. The functional is GGA-PBEsol.

Geometry as extended XYZ:
```
5
Lattice="-2.936 -1.570 -0.325 1.605 -2.573 -2.065 0.719 -1.968 3.011" Properties=species:S:1:pos:R:3 pbc="T T T"
C -1.468 -0.785 -0.163
Be 0.000 0.000 0.000
B 0.359 -0.984 1.506
B 0.802 -1.287 -1.032
Ta -0.306 -3.056 0.311
```

Output
spin magnetization = 0.0 Bohr magnetons per cell
calculated total energy = -33.92 eV for the cell shown
volume = 45.0 Å³/cell
DOS(E_F) = 1.8 states/eV per cell


(4)
This record from Alexandria describes an optimized crystal structure of BeZnCdSb2. The functional is GGA-PBEsol.

Geometry as extended XYZ:
```
5
Lattice="-3.350 -3.152 1.197 3.083 -1.695 4.169 -2.338 3.715 3.239" Properties=species:S:1:pos:R:3 pbc="T T T"
Zn -1.675 -1.576 0.598
Be -1.302 -0.566 4.302
Sb -1.169 1.857 1.620
Sb 1.542 -0.847 2.084
Cd 0.000 0.000 0.000
```

Output
spin magnetization = 0.0 Bohr magnetons per cell
formation energy from raw total energies = 1.139 eV per atom
calculated total energy = -10.20 eV for the cell shown
volume = 141.4 Å³/cell
DOS(E_F) = 3.0 states/eV per cell


(5)
This record from Alexandria describes an optimized crystal structure of Sr2NiHg. The functional is GGA-PBEsol.

Geometry as extended XYZ:
```
4
Lattice="-1.832 -2.416 -2.032 1.161 -2.700 2.165 -6.859 1.029 4.962" Properties=species:S:1:pos:R:3 pbc="T T T"
Sr -2.609 -2.217 1.711
Sr -6.300 0.945 4.557
Hg -3.873 0.581 2.802
Ni -5.036 -1.853 3.466
```

Output
spin magnetization = 0.0 Bohr magnetons per cell
calculated total energy = -10.53 eV for the cell shown
volume = 113.6 Å³/cell
DOS(E_F) = 3.7 states/eV per cell


(6)
This record from Alexandria describes an optimized crystal structure of CsHfSeBr2. The functional is GGA-PBEsol.

Geometry as extended XYZ:
```
5
Lattice="5.580 0.000 0.000 0.000 6.140 0.000 0.000 0.000 6.140" Properties=species:S:1:pos:R:3 pbc="T T T"
Se 2.790 0.000 0.000
Hf 2.790 3.070 3.070
Br 0.000 0.000 3.070
Br 0.000 3.070 0.000
Cs 0.000 0.000 0.000
```

Output
spin magnetization = 1.8 Bohr magnetons per cell
formation energy from raw total energies = 0.925 eV per atom
calculated total energy = -14.41 eV for the cell shown
volume = 210.4 Å³/cell
DOS(E_F) = 6.9 states/eV per cell


Among the records above, which one has the lowest DOS(E_F)?
TaBeB2C


Repeat the third record exactly.
This record from Alexandria describes an optimized crystal structure of TaBeB2C. The functional is GGA-PBEsol.

Geometry as extended XYZ:
```
5
Lattice="-2.936 -1.570 -0.325 1.605 -2.573 -2.065 0.719 -1.968 3.011" Properties=species:S:1:pos:R:3 pbc="T T T"
C -1.468 -0.785 -0.163
Be 0.000 0.000 0.000
B 0.359 -0.984 1.506
B 0.802 -1.287 -1.032
Ta -0.306 -3.056 0.311
```

Output
spin magnetization = 0.0 Bohr magnetons per cell
calculated total energy = -33.92 eV for the cell shown
volume = 45.0 Å³/cell
DOS(E_F) = 1.8 states/eV per cell